1.
## MnB4O7 (PBEsol)

Data for MnB4O7 after structural relaxation.

Results
- M_tot: 5.0 μB per formula unit
- ΔE_f (raw): -2.266 eV/atom
- Symmetry: Cmcm, No. 63
- ρ: 3.7 g/cm³
- Total DFT energy (no corrections): -8.480 eV per atom

a b c (Å): 6.3682 6.3682 5.1871
angles (deg): 90.00 90.00 62.75
Fractional coordinates of all 24 atoms:
Mn  0.2238  0.7762  0.7500
Mn  0.7762  0.2238  0.2500
B  0.0812  0.6804  0.2500
B  0.2937  0.2937  0.0000
B  0.2937  0.2937  0.5000
B  0.3196  0.9188  0.2500
B  0.6804  0.0812  0.7500
B  0.7063  0.7063  0.0000
B  0.7063  0.7063  0.5000
B  0.9188  0.3196  0.7500
O  0.0936  0.9064  0.2500
O  0.1889  0.5470  0.0225
O  0.1889  0.5470  0.4775
O  0.1908  0.2418  0.7500
O  0.2418  0.1908  0.2500
O  0.4530  0.8111  0.0225
O  0.4530  0.8111  0.4775
O  0.5470  0.1889  0.5225
O  0.5470  0.1889  0.9775
O  0.7582  0.8092  0.7500
O  0.8092  0.7582  0.2500
O  0.8111  0.4530  0.5225
O  0.8111  0.4530  0.9775
O  0.9064  0.0936  0.7500

***

2.
## MnBOs3 (PBEsol)

Data for MnBOs3 after structural relaxation.

Results
- M_tot: 0.4 μB per formula unit
- Symmetry: Pm-3m, No. 221
- ρ: 13.0 g/cm³
- Energy of formation: 2.67 eV per atom
- Total DFT energy (no corrections): -8.020 eV per atom

a b c (Å): 4.3320 4.3320 4.3320
angles (deg): 90.00 90.00 90.00
Fractional coordinates of all 5 atoms:
Mn  0.0000  0.0000  0.0000
B  0.5000  0.5000  0.5000
Os  0.0000  0.0000  0.5000
Os  0.0000  0.5000  0.0000
Os  0.5000  0.0000  0.0000

***

3.
## MnB2OsPt (PBEsol)

Data for MnB2OsPt after structural relaxation.

Results
- M_tot: 0.0 μB per formula unit
- Symmetry: P4/mmm, No. 123
- ρ: 12.0 g/cm³
- Energy of formation: 1.31 eV per atom
- Total DFT energy (no corrections): -7.285 eV per atom

a b c (Å): 3.8009 3.8009 4.4058
angles (deg): 90.00 90.00 90.00
Fractional coordinates of all 5 atoms:
Mn  0.0000  0.0000  0.0000
B  0.0000  0.5000  0.0000
B  0.5000  0.0000  0.0000
Os  0.0000  0.0000  0.5000
Pt  0.5000  0.5000  0.5000

***

4.
## MnB2Pd (PBEsol)

Data for MnB2Pd after structural relaxation.

Results
- M_tot: 1.0 μB per formula unit
- Symmetry: I-42d, No. 122
- ρ: 6.3 g/cm³
- Energy of formation: 0.65 eV per atom
- Total DFT energy (no corrections): -6.787 eV per atom

a b c (Å): 4.6001 4.6001 9.0894
angles (deg): 90.00 90.00 90.00
Fractional coordinates of all 16 atoms:
Mn  0.0000  0.0000  0.0000
Mn  0.0000  0.5000  0.2500
Mn  0.5000  0.0000  0.7500
Mn  0.5000  0.5000  0.5000
B  0.2303  0.2500  0.1250
B  0.2500  0.7303  0.3750
B  0.2500  0.7697  0.8750
B  0.2697  0.2500  0.6250
B  0.7303  0.7500  0.6250
B  0.7500  0.2303  0.8750
B  0.7500  0.2697  0.3750
B  0.7697  0.7500  0.1250
Pd  0.0000  0.0000  0.5000
Pd  0.0000  0.5000  0.7500
Pd  0.5000  0.0000  0.2500
Pd  0.5000  0.5000  0.0000

***

5.
## MnBPd3 (PBEsol)

Data for MnBPd3 after structural relaxation.

Results
- M_tot: 3.9 μB per formula unit
- Symmetry: Pm-3m, No. 221
- ρ: 6.9 g/cm³
- Energy of formation: 1.75 eV per atom
- Total DFT energy (no corrections): -5.178 eV per atom

a b c (Å): 4.5160 4.5160 4.5160
angles (deg): 90.00 90.00 90.00
Fractional coordinates of all 5 atoms:
Mn  0.0000  0.0000  0.0000
B  0.5000  0.5000  0.5000
Pd  0.0000  0.0000  0.5000
Pd  0.0000  0.5000  0.0000
Pd  0.5000  0.0000  0.0000

***

6.
## MnBPd3 (PBEsol)

Data for MnBPd3 after structural relaxation.

Results
- M_tot: 4.9 μB per formula unit
- Symmetry: Pm-3m, No. 221
- ρ: 9.2 g/cm³
- Energy of formation: -0.09 eV per atom
- Total DFT energy (no corrections): -7.017 eV per atom

a b c (Å): 4.1082 4.1082 4.1082
angles (deg): 90.00 90.00 90.00
Fractional coordinates of all 5 atoms:
Mn  0.0000  0.0000  0.0000
B  0.5000  0.5000  0.5000
Pd  0.0000  0.5000  0.5000
Pd  0.5000  0.0000  0.5000
Pd  0.5000  0.5000  0.0000

***

7.
## RbMnB3 (PBEsol)

Data for RbMnB3 after structural relaxation.

Results
- M_tot: 4.1 μB per formula unit
- Symmetry: Pm-3m, No. 221
- ρ: 3.2 g/cm³
- Energy of formation: 3.59 eV per atom
- Total DFT energy (no corrections): -2.777 eV per atom

a b c (Å): 4.4883 4.4883 4.4883
angles (deg): 90.00 90.00 90.00
Fractional coordinates of all 5 atoms:
Rb  0.0000  0.0000  0.0000
Mn  0.5000  0.5000  0.5000
B  0.0000  0.0000  0.5000
B  0.0000  0.5000  0.0000
B  0.5000  0.0000  0.0000

***

Repeat the third record exactly.
## MnB2OsPt (PBEsol)

Data for MnB2OsPt after structural relaxation.

Results
- M_tot: 0.0 μB per formula unit
- Symmetry: P4/mmm, No. 123
- ρ: 12.0 g/cm³
- Energy of formation: 1.31 eV per atom
- Total DFT energy (no corrections): -7.285 eV per atom

a b c (Å): 3.8009 3.8009 4.4058
angles (deg): 90.00 90.00 90.00
Fractional coordinates of all 5 atoms:
Mn  0.0000  0.0000  0.0000
B  0.0000  0.5000  0.0000
B  0.5000  0.0000  0.0000
Os  0.0000  0.0000  0.5000
Pt  0.5000  0.5000  0.5000